No. 1
Compound: ZrHgCl2
Source: Alexandria
Functional: PBE
Structure: optimized geometry

Cell lengths 4.8310, 3.3998, 6.0829 Å; angles 73.75, 90.00, 90.00 degrees
With the nearest neighbours (Å) after each atom.
Sites, in units of the cell vectors:
1 Hg 0.0000 0.5399 0.5451  3 Cl 3.06-3.29, 4 Zr 3.35, 2 Hg 3.40
2 Zr 0.5000 0.9045 0.8162  4 Cl 2.60-2.62
3 Cl 0.0000 0.8220 0.9814  2 Zr 2.60
4 Cl 0.5000 0.2337 0.1573  2 Zr 2.62

## Properties
Energy above the most stable polymorph in this dataset ... 399 meV/atom
ΔE_f (raw) ... -70.9 kJ per mole of atoms

***

No. 2
Compound: ZrHgCl2
Source: Alexandria
Functional: PBE
Structure: optimized geometry

Cell lengths 3.5798, 3.5798, 11.3989 Å; angles 90.00, 90.00, 125.95 degrees
With the nearest neighbours (Å) after each atom.
Sites, in units of the cell vectors:
1 Hg 0.5000 0.5000 0.2500  6 Hg 3.25-3.58
2 Zr 0.5000 0.5000 0.7500  4 Cl 2.56
3 Cl 0.0000 0.0000 0.9239  2 Zr 2.56
4 Cl 0.0000 0.0000 0.5761  2 Zr 2.56

## Properties
Energy above the most stable polymorph in this dataset ... 193 meV/atom
ΔE_f (raw) ... -90.7 kJ per mole of atoms

***

No. 3
Compound: HoCl
Source: Alexandria
Functional: PBE
Structure: optimized geometry

Cell lengths 3.7350, 3.7255, 9.8809 Å; angles 88.95, 90.00, 90.00 degrees
With the nearest neighbours (Å) after each atom.
Sites, in units of the cell vectors:
1 Ho 0.2500 0.2565 0.3679  2 Cl 2.62
2 Ho 0.7500 0.7435 0.6321  2 Cl 2.62
3 Cl 0.2500 0.7343 0.8184  2 Ho 2.62
4 Cl 0.7500 0.2657 0.1816  2 Ho 2.62

## Properties
ΔE_f (raw) ... -123.1 kJ per mole of atoms

***

No. 4
Compound: HoIn3Cl6
Source: Alexandria
Functional: PBE
Structure: optimized geometry

Cell lengths 7.2935, 8.3542, 10.8337 Å; angles 90.00, 86.68, 90.00 degrees
With the nearest neighbours (Å) after each atom.
Sites, in units of the cell vectors:
1 Ho 0.5000 0.5000 0.5000  6 Cl 2.64-2.65
2 Ho 0.0000 0.0000 0.0000  6 Cl 2.64-2.65
3 In 0.5256 0.9275 0.7730  6 Cl 3.13-3.44
4 In 0.5000 0.5000 0.0000  6 Cl 3.19-3.27
5 In 0.4744 0.0725 0.2270  6 Cl 3.13-3.44
6 In 0.0256 0.5725 0.2730  6 Cl 3.13-3.44
7 In 0.0000 0.0000 0.5000  6 Cl 3.19-3.27
8 In 0.9744 0.4275 0.7270  6 Cl 3.13-3.44
9 Cl 0.6934 0.1596 0.9662  1 Ho 2.65
10 Cl 0.6600 0.2400 0.5819  1 Ho 2.64
11 Cl 0.6290 0.4302 0.2731  1 Ho 2.65
12 Cl 0.3710 0.5698 0.7269  1 Ho 2.65
13 Cl 0.3400 0.7600 0.4181  1 Ho 2.64
14 Cl 0.3066 0.8404 0.0338  1 Ho 2.65
15 Cl 0.1934 0.3404 0.4662  1 Ho 2.65
16 Cl 0.1600 0.2600 0.0819  1 Ho 2.64
17 Cl 0.1290 0.0698 0.7731  1 Ho 2.65
18 Cl 0.8710 0.9302 0.2269  1 Ho 2.65
19 Cl 0.8400 0.7400 0.9181  1 Ho 2.64
20 Cl 0.8066 0.6596 0.5338  1 Ho 2.65

## Properties
ΔE_f (raw) ... -137.2 kJ per mole of atoms

***

No. 5
Compound: HoIn2Cl5
Source: Alexandria
Functional: PBE
Structure: optimized geometry

Cell lengths 8.7182, 8.4117, 12.6934 Å; angles 90.00, 90.00, 90.00 degrees
With the nearest neighbours (Å) after each atom.
Sites, in units of the cell vectors:
1 Ho 0.4252 0.2500 0.5063  7 Cl 2.65-2.77
2 Ho 0.5748 0.7500 0.4937  7 Cl 2.65-2.77
3 Ho 0.9252 0.7500 0.9937  7 Cl 2.65-2.77
4 Ho 0.0748 0.2500 0.0063  7 Cl 2.65-2.77
5 In 0.3935 0.5155 0.8327  6 Cl 3.11-3.47
6 In 0.6065 0.4845 0.1673  6 Cl 3.11-3.47
7 In 0.8935 0.4845 0.6673  6 Cl 3.11-3.47
8 In 0.6065 0.0155 0.1673  6 Cl 3.11-3.47
9 In 0.1065 0.5155 0.3327  6 Cl 3.11-3.47
10 In 0.3935 0.9845 0.8327  6 Cl 3.11-3.47
11 In 0.1065 0.9845 0.3327  6 Cl 3.11-3.47
12 In 0.8935 0.0155 0.6673  6 Cl 3.11-3.47
13 Cl 0.1074 0.2500 0.5033  1 Ho 2.77
14 Cl 0.8926 0.7500 0.4967  1 Ho 2.77
15 Cl 0.6074 0.7500 0.9967  1 Ho 2.77
16 Cl 0.3926 0.2500 0.0033  1 Ho 2.77
17 Cl 0.3375 0.9481 0.5536  2 Ho 2.72-2.76
18 Cl 0.6625 0.0519 0.4464  2 Ho 2.72-2.76
19 Cl 0.8375 0.0519 0.9464  2 Ho 2.72-2.76
20 Cl 0.6625 0.4481 0.4464  2 Ho 2.72-2.76
21 Cl 0.1625 0.9481 0.0536  2 Ho 2.72-2.76
22 Cl 0.3375 0.5519 0.5536  2 Ho 2.72-2.76
23 Cl 0.1625 0.5519 0.0536  2 Ho 2.72-2.76
24 Cl 0.8375 0.4481 0.9464  2 Ho 2.72-2.76
25 Cl 0.1369 0.2500 0.8018  1 Ho 2.65
26 Cl 0.8631 0.7500 0.1982  1 Ho 2.65
27 Cl 0.6369 0.7500 0.6982  1 Ho 2.65
28 Cl 0.3631 0.2500 0.3018  1 Ho 2.65
29 Cl 0.5509 0.2500 0.6978  1 Ho 2.67
30 Cl 0.4491 0.7500 0.3022  1 Ho 2.67
31 Cl 0.0509 0.7500 0.8022  1 Ho 2.67
32 Cl 0.9491 0.2500 0.1978  1 Ho 2.67

## Properties
ΔE_f (raw) ... -151.1 kJ per mole of atoms

***

No. 6
Compound: HoInCl4
Source: Alexandria
Functional: PBE
Structure: optimized geometry

Cell lengths 6.6312, 7.3561, 8.8087 Å; angles 102.48, 112.12, 90.00 degrees
With the nearest neighbours (Å) after each atom.
Sites, in units of the cell vectors:
1 Ho 0.5000 0.0000 0.5000  6 Cl 2.60-2.67
2 Ho 0.0000 0.5000 0.5000  6 Cl 2.60-2.67
3 In 0.7431 0.7501 0.0000  4 Cl 2.99-3.14
4 In 0.2569 0.2499 0.0000  4 Cl 2.99-3.14
5 Cl 0.4948 0.0411 0.7987  1 Ho 2.60
6 Cl 0.6961 0.4589 0.2012  1 Ho 2.60
7 Cl 0.5052 0.9589 0.2013  1 Ho 2.60
8 Cl 0.3039 0.5411 0.7988  1 Ho 2.60
9 Cl 0.8591 0.8225 0.6114  2 Ho 2.67
10 Cl 0.2478 0.6775 0.3887  2 Ho 2.67
11 Cl 0.1409 0.1775 0.3886  2 Ho 2.67
12 Cl 0.7522 0.3225 0.6113  2 Ho 2.67

## Properties
ΔE_f (raw) ... -173.1 kJ per mole of atoms

***

No. 7
Compound: Ho2InCl
Source: Alexandria
Functional: PBE
Structure: optimized geometry

Cell lengths 3.8009, 3.8009, 8.2097 Å; angles 76.62, 76.62, 60.00 degrees
With the nearest neighbours (Å) after each atom.
Sites, in units of the cell vectors:
1 Cl 0.5000 0.5000 0.5000  6 Ho 2.77
2 Ho 0.2377 0.2377 0.2870  3 Cl 2.77
3 Ho 0.7623 0.7623 0.7130  3 Cl 2.77
4 In 0.0000 0.0000 0.0000  6 Ho 3.16

## Properties
ΔE_f (raw) ... -72.9 kJ per mole of atoms

***

No. 8
Compound: Ho2InCl8
Source: Alexandria
Functional: PBE
Structure: optimized geometry

Cell lengths 6.9645, 6.9191, 6.9191 Å; angles 76.51, 79.73, 79.73 degrees
With the nearest neighbours (Å) after each atom.
Sites, in units of the cell vectors:
1 Ho 0.4508 0.3178 0.3178  7 Cl 2.61-2.80
2 Ho 0.5492 0.6822 0.6822  7 Cl 2.61-2.80
3 In 0.0000 0.0000 0.0000  6 Cl 2.66-2.91
4 Cl 0.3213 0.6684 0.0499  2 Ho 2.74-2.80, 1 In 2.91
5 Cl 0.6787 0.9501 0.3316  2 Ho 2.74-2.80, 1 In 2.91
6 Cl 0.1673 0.1966 0.1966  1 Ho 2.61, 1 In 2.66
7 Cl 0.8327 0.8034 0.8034  1 Ho 2.61, 1 In 2.66
8 Cl 0.3213 0.0499 0.6684  2 Ho 2.74-2.80, 1 In 2.91
9 Cl 0.6787 0.3316 0.9501  2 Ho 2.74-2.80, 1 In 2.91
10 Cl 0.7420 0.4393 0.4393  2 Ho 2.66-2.68
11 Cl 0.2580 0.5607 0.5607  2 Ho 2.66-2.68

## Properties
ΔE_f (raw) ... -176.4 kJ per mole of atoms